Here is a geometry-optimized CrCl2F structure from the Alexandria database. Energies are from GGA+U.

Lattice parameters (Å, degrees): 3.6321 3.6321 22.3411 90.00 90.00 120.00
Closest atoms and distances in Å follow each position.
Atoms (fractional coordinates):
Cr  0.0000  0.0000  0.0000  6 Cl 2.49
Cr  0.3333  0.6667  0.6667  6 Cl 2.49
Cr  0.6667  0.3333  0.3333  6 Cl 2.49
Cl  0.0000  0.0000  0.3935  1 F 2.38, 3 Cr 2.49
Cl  0.0000  0.0000  0.6065  1 F 2.38, 3 Cr 2.49
Cl  0.3333  0.6667  0.0601  1 F 2.38, 3 Cr 2.49
Cl  0.3333  0.6667  0.2732  1 F 2.38, 3 Cr 2.49
Cl  0.6667  0.3333  0.7268  1 F 2.38, 3 Cr 2.49
Cl  0.6667  0.3333  0.9399  1 F 2.38, 3 Cr 2.49
F  0.0000  0.0000  0.5000  2 Cl 2.38
F  0.3333  0.6667  0.1667  2 Cl 2.38
F  0.6667  0.3333  0.8333  2 Cl 2.38

Computed properties:
* SG: R-3m (166)
* E above lowest polymorph: 894 meV/atom